{
  "formula": "ZrAgSN2",
  "functional": "PBE",
  "state": "optimized geometry",
  "lattice": [[-3.9719, 0.0217, 0.7732], [-0.2385, -3.8821, -1.1166], [0.8410, -1.3047, 4.3564]],
  "species": ["S", "Ag", "N", "N", "Zr"],
  "frac_coords": [[0.0000, 0.0000, 0.5000], [0.0000, 0.0000, 0.0000], [0.0000, 0.5000, 0.0000], [0.5000, 0.0000, 0.0000], [0.5000, 0.5000, 0.5000]],
  "n_ef_per_ev_cell": 3.51,
  "spacegroup": "P4/mmm (123)",
  "polymorph_energy_mev_per_atom": 698.9,
  "final_energy_ev_per_atom": -5.26,
  "raw_formation_energy_ev_per_atom": 1.18
}